No. 1
Compound: Nd2HRu
Source: Alexandria
Functional: PBE
Structure: optimized geometry

Summary:
Relative energy among the computed polymorphs: 0.098 eV/atom
Spin magnetization: 0.00 μB/f.u.

a b c (Å): 3.3440 3.3440 7.2125
angles (deg): 90.00 90.00 90.00
Fractional coordinates of all 4 atoms:
Nd  0.0000  0.0000  0.2483
Nd  0.0000  0.0000  0.7517
H  0.5000  0.5000  0.5000
Ru  0.5000  0.5000  0.0000


No. 2
Compound: NdHRu
Source: Alexandria
Functional: PBE
Structure: optimized geometry

Summary:
Relative energy among the computed polymorphs: 0.000 eV/atom
Spin magnetization: 0.00 μB/f.u.

a b c (Å): 16.2338 3.5300 3.5300
angles (deg): 90.00 90.00 90.00
Fractional coordinates of all 12 atoms:
Nd  0.1584  0.2500  0.2478
Nd  0.3416  0.7500  0.7478
Nd  0.6584  0.2500  0.2522
Nd  0.8416  0.7500  0.7522
H  0.1933  0.7500  0.7468
H  0.3067  0.2500  0.2468
H  0.6933  0.7500  0.7532
H  0.8067  0.2500  0.2532
Ru  0.0000  0.2500  0.7497
Ru  0.0000  0.7500  0.2503
Ru  0.5000  0.2500  0.7503
Ru  0.5000  0.7500  0.2497


No. 3
Compound: NdH9Ru2
Source: Alexandria
Functional: PBE
Structure: optimized geometry

Summary:
Spin magnetization: 0.00 μB/f.u.
Raw total energy: -4.38 eV/atom

a b c (Å): 6.3449 6.3449 6.3449
angles (deg): 100.22 100.22 130.18
Fractional coordinates of all 24 atoms:
Nd  0.3750  0.6250  0.7500
Nd  0.6250  0.3750  0.2500
H  0.1250  0.8750  0.2500
H  0.1652  0.2286  0.3317
H  0.1652  0.8335  0.9366
H  0.1665  0.6031  0.3317
H  0.1665  0.8348  0.5634
H  0.2286  0.1652  0.8317
H  0.2286  0.3969  0.0634
H  0.3969  0.2286  0.5634
H  0.3969  0.8335  0.1683
H  0.6031  0.1665  0.8317
H  0.6031  0.7714  0.4366
H  0.7714  0.6031  0.9366
H  0.7714  0.8348  0.1683
H  0.8335  0.1652  0.4366
H  0.8335  0.3969  0.6683
H  0.8348  0.1665  0.0634
H  0.8348  0.7714  0.6683
H  0.8750  0.1250  0.7500
Ru  0.0000  0.0000  0.0000
Ru  0.0000  0.0000  0.5000
Ru  0.0000  0.5000  0.0000
Ru  0.5000  0.0000  0.5000


No. 4
Compound: Nd2HRu
Source: Alexandria
Functional: PBE
Structure: optimized geometry

Summary:
Relative energy among the computed polymorphs: 0.081 eV/atom
Spin magnetization: 0.00 μB/f.u.

a b c (Å): 6.5451 6.5451 6.5451
angles (deg): 36.06 36.06 36.06
Fractional coordinates of all 4 atoms:
Nd  0.2471  0.2471  0.2471
Nd  0.7529  0.7529  0.7529
H  0.5000  0.5000  0.5000
Ru  0.0000  0.0000  0.0000


No. 5
Compound: Nd2HRu
Source: Alexandria
Functional: PBE
Structure: optimized geometry

Summary:
Relative energy among the computed polymorphs: 0.000 eV/atom
Spin magnetization: 0.00 μB/f.u.

a b c (Å): 5.7336 5.5020 11.9908
angles (deg): 90.00 114.47 90.00
Fractional coordinates of all 16 atoms:
Nd  0.0794  0.2499  0.1161
Nd  0.0794  0.7501  0.6161
Nd  0.3599  0.2494  0.8688
Nd  0.3599  0.7506  0.3688
Nd  0.6401  0.2494  0.6312
Nd  0.6401  0.7506  0.1312
Nd  0.9206  0.2499  0.3839
Nd  0.9206  0.7501  0.8839
H  0.0670  0.2480  0.6237
H  0.0670  0.7520  0.1237
H  0.9330  0.2480  0.8763
H  0.9330  0.7520  0.3763
Ru  0.4120  0.2506  0.3617
Ru  0.4120  0.7494  0.8617
Ru  0.5880  0.2506  0.1383
Ru  0.5880  0.7494  0.6383


No. 6
Compound: NdHRu
Source: Alexandria
Functional: PBE
Structure: optimized geometry

Summary:
Relative energy among the computed polymorphs: 0.125 eV/atom
Spin magnetization: 0.00 μB/f.u.

a b c (Å): 3.3850 3.3850 4.6120
angles (deg): 90.00 90.00 120.00
Fractional coordinates of all 3 atoms:
Nd  0.0000  0.0000  0.0000
H  0.3333  0.6667  0.5000
Ru  0.6667  0.3333  0.5000


No. 7
Compound: Nd12H5Ru3
Source: Alexandria
Functional: PBE
Structure: optimized geometry

Summary:
Spin magnetization: 0.00 μB/f.u.
Raw total energy: -5.32 eV/atom

a b c (Å): 13.5002 13.5002 13.5002
angles (deg): 109.47 109.47 109.47
Fractional coordinates of all 80 atoms:
Nd  0.0312  0.2188  0.1224
Nd  0.0312  0.3125  0.9088
Nd  0.0912  0.6224  0.4037
Nd  0.0912  0.9688  0.6875
Nd  0.0963  0.7188  0.6875
Nd  0.0963  0.8776  0.4088
Nd  0.1224  0.0312  0.2188
Nd  0.1224  0.5912  0.9037
Nd  0.1875  0.2188  0.5963
Nd  0.1875  0.4688  0.5912
Nd  0.2188  0.1224  0.0312
Nd  0.2188  0.5963  0.1875
Nd  0.2812  0.3125  0.9037
Nd  0.2812  0.4688  0.3776
Nd  0.3125  0.9037  0.2812
Nd  0.3125  0.9088  0.0312
Nd  0.3776  0.2812  0.4688
Nd  0.3776  0.5963  0.9088
Nd  0.4037  0.0912  0.6224
Nd  0.4037  0.8125  0.7812
Nd  0.4088  0.0963  0.8776
Nd  0.4088  0.8125  0.5312
Nd  0.4688  0.3776  0.2812
Nd  0.4688  0.5912  0.1875
Nd  0.5312  0.4088  0.8125
Nd  0.5312  0.6224  0.7188
Nd  0.5912  0.1875  0.4688
Nd  0.5912  0.9037  0.1224
Nd  0.5963  0.1875  0.2188
Nd  0.5963  0.9088  0.3776
Nd  0.6224  0.4037  0.0912
Nd  0.6224  0.7188  0.5312
Nd  0.6875  0.0912  0.9688
Nd  0.6875  0.0963  0.7188
Nd  0.7188  0.5312  0.6224
Nd  0.7188  0.6875  0.0963
Nd  0.7812  0.4037  0.8125
Nd  0.7812  0.8776  0.9688
Nd  0.8125  0.5312  0.4088
Nd  0.8125  0.7812  0.4037
Nd  0.8776  0.4088  0.0963
Nd  0.8776  0.9688  0.7812
Nd  0.9037  0.1224  0.5912
Nd  0.9037  0.2812  0.3125
Nd  0.9088  0.0312  0.3125
Nd  0.9088  0.3776  0.5963
Nd  0.9688  0.6875  0.0912
Nd  0.9688  0.7812  0.8776
H  0.0000  0.0000  0.0000
H  0.0000  0.0000  0.5000
H  0.0000  0.5000  0.0000
H  0.0000  0.5000  0.5000
H  0.1250  0.7500  0.8750
H  0.1250  0.8750  0.2500
H  0.2500  0.1250  0.8750
H  0.2500  0.6250  0.3750
H  0.3750  0.2500  0.6250
H  0.3750  0.6250  0.7500
H  0.5000  0.0000  0.0000
H  0.5000  0.0000  0.5000
H  0.5000  0.5000  0.0000
H  0.5000  0.5000  0.5000
H  0.6250  0.3750  0.2500
H  0.6250  0.7500  0.3750
H  0.7500  0.3750  0.6250
H  0.7500  0.8750  0.1250
H  0.8750  0.1250  0.7500
H  0.8750  0.2500  0.1250
Ru  0.1250  0.2500  0.3750
Ru  0.1250  0.3750  0.7500
Ru  0.2500  0.3750  0.1250
Ru  0.2500  0.8750  0.6250
Ru  0.3750  0.1250  0.2500
Ru  0.3750  0.7500  0.1250
Ru  0.6250  0.2500  0.8750
Ru  0.6250  0.8750  0.7500
Ru  0.7500  0.1250  0.3750
Ru  0.7500  0.6250  0.8750
Ru  0.8750  0.6250  0.2500
Ru  0.8750  0.7500  0.6250


No. 8
Compound: NdH2Ru
Source: Alexandria
Functional: PBE
Structure: optimized geometry

Summary:
Spin magnetization: 0.00 μB/f.u.
Raw total energy: -5.22 eV/atom

a b c (Å): 5.1361 5.1361 5.1361
angles (deg): 38.74 38.74 38.74
Fractional coordinates of all 4 atoms:
Nd  0.0000  0.0000  0.0000
H  0.2073  0.2073  0.2073
H  0.7927  0.7927  0.7927
Ru  0.5000  0.5000  0.5000